(1)
Compound: Bi2Pd5Pb2
Source: the Alexandria database
Functional: PBE
Structure: relaxed

V: 21.3 Å³/atom
energy relative to the elements: -0.219 eV per atom
size of the total moment: 0.00 μB/f.u.

Lattice parameters (Å, degrees): 4.161 6.291 7.770 77.97 74.52 89.97
Atoms (fractional coordinates):
1 Bi 0.304 0.703 0.392
2 Bi 0.696 0.297 0.608
3 Pd 0.906 0.549 0.188
4 Pd 0.820 0.028 0.360
5 Pd 0.180 0.972 0.640
6 Pd 0.094 0.451 0.812
7 Pd 0.000 0.000 0.000
8 Pb 0.437 0.244 0.127
9 Pb 0.563 0.756 0.873



(2)
Compound: Bi5Pd4Pb
Source: the Alexandria database
Functional: PBE
Structure: relaxed

V: 25.8 Å³/atom
energy relative to the elements: -0.120 eV per atom
size of the total moment: 0.00 μB/f.u.

Lattice parameters (Å, degrees): 3.510 8.757 8.577 90.04 101.80 90.00
Atoms (fractional coordinates):
1 Bi 0.822 0.616 0.643
2 Bi 0.826 0.130 0.652
3 Bi 0.174 0.870 0.348
4 Bi 0.500 0.500 0.000
5 Bi 0.178 0.384 0.357
6 Pd 0.344 0.873 0.689
7 Pd 0.974 0.752 0.947
8 Pd 0.656 0.127 0.311
9 Pd 0.026 0.248 0.053
10 Pb 0.500 0.000 0.000



(3)
Compound: Bi2Pd8Pb
Source: the Alexandria database
Functional: PBE
Structure: relaxed

V: 18.6 Å³/atom
energy relative to the elements: -0.235 eV per atom
size of the total moment: 0.00 μB/f.u.

Lattice parameters (Å, degrees): 4.034 8.218 7.683 122.33 105.22 90.00
Atoms (fractional coordinates):
1 Bi 0.156 0.656 0.312
2 Bi 0.844 0.344 0.688
3 Pd 0.666 0.914 0.332
4 Pd 0.334 0.582 0.668
5 Pd 0.170 0.170 0.339
6 Pd 0.000 0.249 0.000
7 Pd 0.830 0.830 0.661
8 Pd 0.666 0.418 0.332
9 Pd 0.334 0.086 0.668
10 Pd 0.000 0.751 0.000
11 Pb 0.500 0.000 0.000



(4)
Compound: Bi2Pd6Pb
Source: the Alexandria database
Functional: PBE
Structure: relaxed

V: 21.2 Å³/atom
energy relative to the elements: -0.160 eV per atom
size of the total moment: 0.00 μB/f.u.

Lattice parameters (Å, degrees): 3.872 8.014 7.587 121.88 104.85 90.00
Atoms (fractional coordinates):
1 Bi 0.667 0.667 0.335
2 Bi 0.333 0.333 0.665
3 Pd 0.166 0.410 0.333
4 Pd 0.834 0.077 0.667
5 Pd 0.834 0.590 0.667
6 Pd 0.500 0.261 0.000
7 Pd 0.166 0.923 0.333
8 Pd 0.500 0.739 0.000
9 Pb 0.000 0.000 0.000



(5)
Compound: Bi3Pd12Pb
Source: the Alexandria database
Functional: PBE
Structure: relaxed

V: 17.6 Å³/atom
energy relative to the elements: -0.244 eV per atom
size of the total moment: 0.00 μB/f.u.

Lattice parameters (Å, degrees): 4.145 4.145 16.429 90.00 90.00 90.00
Atoms (fractional coordinates):
1 Bi 0.000 0.000 0.249
2 Bi 0.000 0.000 0.500
3 Bi 0.000 0.000 0.751
4 Pd 0.500 0.500 0.000
5 Pd 0.500 0.500 0.250
6 Pd 0.500 0.500 0.500
7 Pd 0.500 0.500 0.750
8 Pd 0.500 0.000 0.124
9 Pd 0.500 0.000 0.375
10 Pd 0.500 0.000 0.625
11 Pd 0.500 0.000 0.876
12 Pd 0.000 0.500 0.124
13 Pd 0.000 0.500 0.375
14 Pd 0.000 0.500 0.625
15 Pd 0.000 0.500 0.876
16 Pb 0.000 0.000 0.000



(6)
Compound: Bi3PdPb
Source: the Alexandria database
Functional: PBE
Structure: relaxed

V: 30.4 Å³/atom
energy relative to the elements: -0.064 eV per atom
size of the total moment: 0.00 μB/f.u.

Lattice parameters (Å, degrees): 5.453 6.978 8.694 90.00 90.00 113.36
Atoms (fractional coordinates):
1 Bi 0.020 0.756 0.514
2 Bi 0.980 0.244 0.486
3 Bi 0.020 0.756 0.986
4 Bi 0.980 0.244 0.014
5 Bi 0.469 0.123 0.750
6 Bi 0.531 0.877 0.250
7 Pd 0.897 0.986 0.750
8 Pd 0.103 0.014 0.250
9 Pb 0.435 0.597 0.750
10 Pb 0.565 0.403 0.250



(7)
Compound: Bi4Pd4Pb3
Source: the Alexandria database
Functional: PBE
Structure: relaxed

V: 25.1 Å³/atom
energy relative to the elements: -0.162 eV per atom
size of the total moment: 0.00 μB/f.u.

Lattice parameters (Å, degrees): 4.204 8.133 9.276 116.00 103.10 90.00
Atoms (fractional coordinates):
1 Bi 0.331 0.123 0.663
2 Bi 0.669 0.460 0.337
3 Bi 0.669 0.877 0.337
4 Bi 0.331 0.540 0.663
5 Pd 0.222 0.722 0.444
6 Pd 0.778 0.278 0.556
7 Pd 0.500 0.807 0.000
8 Pd 0.500 0.193 0.000
9 Pb 0.097 0.097 0.195
10 Pb 0.903 0.903 0.805
11 Pb 0.000 0.500 0.000



(8)
Compound: Bi3Pd4Pb4
Source: the Alexandria database
Functional: PBE
Structure: relaxed

V: 24.2 Å³/atom
energy relative to the elements: -0.149 eV per atom
size of the total moment: 0.00 μB/f.u.

Lattice parameters (Å, degrees): 3.448 9.112 9.772 117.79 100.16 90.00
Atoms (fractional coordinates):
1 Bi 0.096 0.096 0.192
2 Bi 0.904 0.904 0.808
3 Bi 0.000 0.500 0.000
4 Pd 0.261 0.761 0.523
5 Pd 0.739 0.239 0.477
6 Pd 0.500 0.777 0.000
7 Pd 0.500 0.223 0.000
8 Pb 0.334 0.145 0.668
9 Pb 0.666 0.476 0.332
10 Pb 0.666 0.855 0.332
11 Pb 0.334 0.524 0.668



(9)
Compound: Bi2Pd5Pb2
Source: the Alexandria database
Functional: PBE
Structure: relaxed

V: 23.7 Å³/atom
energy relative to the elements: -0.175 eV per atom
size of the total moment: 0.00 μB/f.u.

Lattice parameters (Å, degrees): 4.841 7.194 7.664 119.81 90.00 109.66
Atoms (fractional coordinates):
1 Bi 0.154 0.308 0.840
2 Bi 0.846 0.692 0.160
3 Pd 0.412 0.825 0.071
4 Pd 0.588 0.175 0.929
5 Pd 0.087 0.174 0.433
6 Pd 0.913 0.826 0.567
7 Pd 0.000 0.000 0.000
8 Pb 0.346 0.691 0.657
9 Pb 0.654 0.309 0.343



(10)
Compound: Bi2Pd4Pb
Source: the Alexandria database
Functional: PBE
Structure: relaxed

V: 21.0 Å³/atom
energy relative to the elements: -0.250 eV per atom
size of the total moment: 0.00 μB/f.u.

Lattice parameters (Å, degrees): 4.425 10.992 12.096 90.00 90.00 90.00
Atoms (fractional coordinates):
1 Bi 0.250 0.397 0.090
2 Bi 0.750 0.103 0.590
3 Bi 0.250 0.897 0.410
4 Bi 0.750 0.603 0.910
5 Bi 0.750 0.606 0.424
6 Bi 0.250 0.394 0.576
7 Bi 0.750 0.106 0.076
8 Bi 0.250 0.894 0.924
9 Pd 0.250 0.936 0.167
10 Pd 0.750 0.064 0.833
11 Pd 0.250 0.436 0.333
12 Pd 0.750 0.564 0.667
13 Pd 0.250 0.975 0.684
14 Pd 0.750 0.025 0.316
15 Pd 0.250 0.475 0.816
16 Pd 0.750 0.525 0.184
17 Pd 0.250 0.659 0.053
18 Pd 0.750 0.341 0.947
19 Pd 0.250 0.159 0.447
20 Pd 0.750 0.841 0.553
21 Pd 0.750 0.821 0.783
22 Pd 0.250 0.179 0.217
23 Pd 0.250 0.679 0.283
24 Pd 0.750 0.321 0.717
25 Pb 0.750 0.284 0.333
26 Pb 0.250 0.716 0.667
27 Pb 0.750 0.784 0.167
28 Pb 0.250 0.216 0.833



(11)
Compound: Bi2Pd9Pb4
Source: the Alexandria database
Functional: PBE
Structure: relaxed

V: 20.8 Å³/atom
energy relative to the elements: -0.183 eV per atom
size of the total moment: 0.00 μB/f.u.

Lattice parameters (Å, degrees): 4.604 4.604 16.999 90.00 90.00 120.00
Atoms (fractional coordinates):
1 Bi 0.333 0.667 0.756
2 Bi 0.667 0.333 0.244
3 Pd 0.000 0.000 0.332
4 Pd 0.000 0.000 0.668
5 Pd 0.000 0.000 0.836
6 Pd 0.000 0.000 0.164
7 Pd 0.333 0.667 0.561
8 Pd 0.667 0.333 0.439
9 Pd 0.667 0.333 0.063
10 Pd 0.333 0.667 0.937
11 Pd 0.000 0.000 0.500
12 Pb 0.333 0.667 0.393
13 Pb 0.667 0.333 0.607
14 Pb 0.667 0.333 0.899
15 Pb 0.333 0.667 0.101



(12)
Compound: Bi3PdPb
Source: the Alexandria database
Functional: PBE
Structure: relaxed

V: 29.1 Å³/atom
energy relative to the elements: -0.088 eV per atom
size of the total moment: 0.00 μB/f.u.

Lattice parameters (Å, degrees): 3.527 9.372 8.982 91.76 90.00 100.85
Atoms (fractional coordinates):
1 Bi 0.051 0.103 0.332
2 Bi 0.949 0.897 0.668
3 Bi 0.425 0.850 0.086
4 Bi 0.575 0.150 0.914
5 Bi 0.194 0.387 0.610
6 Bi 0.806 0.613 0.390
7 Pd 0.569 0.138 0.589
8 Pd 0.431 0.862 0.411
9 Pb 0.797 0.593 0.873
10 Pb 0.203 0.407 0.127



(13)
Compound: BiPdPb5
Source: the Alexandria database
Functional: PBE
Structure: relaxed

V: 30.1 Å³/atom
energy relative to the elements: 0.003 eV per atom
size of the total moment: 0.00 μB/f.u.

Lattice parameters (Å, degrees): 7.564 8.030 8.030 112.35 78.67 78.67
Atoms (fractional coordinates):
1 Bi 0.000 0.000 0.000
2 Bi 0.500 0.000 0.000
3 Pd 0.750 0.418 0.582
4 Pd 0.250 0.582 0.418
5 Pb 0.843 0.624 0.932
6 Pb 0.649 0.454 0.262
7 Pb 0.343 0.932 0.624
8 Pb 0.750 0.205 0.795
9 Pb 0.851 0.738 0.546
10 Pb 0.149 0.262 0.454
11 Pb 0.250 0.795 0.205
12 Pb 0.657 0.068 0.376
13 Pb 0.351 0.546 0.738
14 Pb 0.157 0.376 0.068



(14)
Compound: BiPd2Pb6
Source: the Alexandria database
Functional: PBE
Structure: relaxed

V: 27.4 Å³/atom
energy relative to the elements: -0.107 eV per atom
size of the total moment: 0.00 μB/f.u.

Lattice parameters (Å, degrees): 8.686 8.686 8.686 99.86 113.57 115.40
Atoms (fractional coordinates):
1 Bi 0.000 0.500 0.500
2 Bi 0.000 0.000 0.000
3 Pd 0.500 0.372 0.872
4 Pd 0.500 0.628 0.128
5 Pd 0.339 0.000 0.339
6 Pd 0.661 0.000 0.661
7 Pb 0.487 0.296 0.191
8 Pb 0.513 0.704 0.809
9 Pb 0.896 0.704 0.191
10 Pb 0.104 0.296 0.809
11 Pb 0.209 0.752 0.962
12 Pb 0.791 0.248 0.038
13 Pb 0.791 0.752 0.543
14 Pb 0.209 0.248 0.457
15 Pb 0.306 0.974 0.668
16 Pb 0.694 0.026 0.332
17 Pb 0.694 0.362 0.668
18 Pb 0.306 0.638 0.332



(15)
Compound: BiPd4Pb7
Source: the Alexandria database
Functional: PBE
Structure: relaxed

V: 25.6 Å³/atom
energy relative to the elements: -0.016 eV per atom
size of the total moment: 0.00 μB/f.u.

Lattice parameters (Å, degrees): 5.808 8.276 7.582 70.69 67.48 69.46
Atoms (fractional coordinates):
1 Bi 0.000 0.000 0.000
2 Pd 0.525 0.295 0.654
3 Pd 0.475 0.705 0.346
4 Pd 0.701 0.660 0.939
5 Pd 0.299 0.340 0.061
6 Pb 0.780 0.896 0.544
7 Pb 0.220 0.104 0.456
8 Pb 0.062 0.605 0.270
9 Pb 0.938 0.395 0.730
10 Pb 0.297 0.650 0.755
11 Pb 0.500 0.000 0.000
12 Pb 0.703 0.350 0.245



(16)
Compound: BiPd3Pb3
Source: the Alexandria database
Functional: PBE
Structure: relaxed

V: 24.8 Å³/atom
energy relative to the elements: -0.174 eV per atom
size of the total moment: 0.00 μB/f.u.

Lattice parameters (Å, degrees): 7.417 7.417 7.417 69.72 69.72 69.72
Atoms (fractional coordinates):
1 Bi 0.336 0.336 0.336
2 Bi 0.664 0.664 0.664
3 Pd 0.543 0.316 0.941
4 Pd 0.316 0.941 0.543
5 Pd 0.941 0.543 0.316
6 Pd 0.059 0.457 0.684
7 Pd 0.684 0.059 0.457
8 Pd 0.457 0.684 0.059
9 Pb 0.838 0.350 0.108
10 Pb 0.108 0.838 0.350
11 Pb 0.350 0.108 0.838
12 Pb 0.650 0.892 0.162
13 Pb 0.892 0.162 0.650
14 Pb 0.162 0.650 0.892



(17)
Compound: Bi12Pd7Pb
Source: the Alexandria database
Functional: PBE
Structure: relaxed

V: 26.2 Å³/atom
energy relative to the elements: -0.195 eV per atom
size of the total moment: 0.00 μB/f.u.

Lattice parameters (Å, degrees): 9.264 9.264 9.264 112.76 112.76 112.76
Atoms (fractional coordinates):
1 Bi 0.948 0.281 0.798
2 Bi 0.719 0.202 0.052
3 Bi 0.512 0.154 0.425
4 Bi 0.846 0.575 0.488
5 Bi 0.202 0.052 0.719
6 Bi 0.575 0.488 0.846
7 Bi 0.425 0.512 0.154
8 Bi 0.798 0.948 0.281
9 Bi 0.154 0.425 0.512
10 Bi 0.488 0.846 0.575
11 Bi 0.281 0.798 0.948
12 Bi 0.052 0.719 0.202
13 Pd 0.871 0.565 0.795
14 Pd 0.435 0.205 0.129
15 Pd 0.205 0.129 0.435
16 Pd 0.500 0.500 0.500
17 Pd 0.795 0.871 0.565
18 Pd 0.565 0.795 0.871
19 Pd 0.129 0.435 0.205
20 Pb 0.000 0.000 0.000



(18)
Compound: Bi2Pd7Pb
Source: the Alexandria database
Functional: PBE
Structure: relaxed

V: 22.3 Å³/atom
energy relative to the elements: 0.022 eV per atom
size of the total moment: 0.00 μB/f.u.

Lattice parameters (Å, degrees): 3.985 8.341 8.341 126.51 90.00 90.00
Atoms (fractional coordinates):
1 Bi 0.500 0.686 0.314
2 Bi 0.500 0.314 0.686
3 Pd 0.000 0.806 0.194
4 Pd 0.000 0.194 0.806
5 Pd 0.500 0.089 0.283
6 Pd 0.500 0.911 0.717
7 Pd 0.500 0.283 0.089
8 Pd 0.500 0.717 0.911
9 Pd 0.500 0.500 0.500
10 Pb 0.000 0.000 0.000



(19)
Compound: Bi5Pd3Pb
Source: the Alexandria database
Functional: PBE
Structure: relaxed

V: 29.1 Å³/atom
energy relative to the elements: -0.072 eV per atom
size of the total moment: 0.00 μB/f.u.

Lattice parameters (Å, degrees): 7.634 7.634 10.121 73.34 73.34 71.99
Atoms (fractional coordinates):
1 Bi 0.979 0.389 0.378
2 Bi 0.304 0.696 0.000
3 Bi 0.764 0.764 0.030
4 Bi 0.436 0.436 0.370
5 Bi 0.564 0.564 0.630
6 Bi 0.236 0.236 0.970
7 Bi 0.389 0.979 0.378
8 Bi 0.696 0.304 0.000
9 Bi 0.021 0.611 0.622
10 Bi 0.611 0.021 0.622
11 Pd 0.671 0.671 0.823
12 Pd 0.670 0.670 0.319
13 Pd 0.000 0.000 0.000
14 Pd 0.000 0.000 0.500
15 Pd 0.329 0.329 0.177
16 Pd 0.330 0.330 0.681
17 Pb 0.093 0.093 0.708
18 Pb 0.907 0.907 0.292